Entry 1:
Density functional theory data (PBE) for a relaxed structure of RbMnIN2.

Cell lengths 5.375, 5.375, 7.373 Å; angles 90.00, 90.00, 90.00 degrees
Sites, in units of the cell vectors:
N 0.000 0.500 0.000
N 0.500 0.000 0.000
I 0.000 0.000 0.500
Rb 0.000 0.000 0.000
Mn 0.500 0.500 0.500

Values from the calculation:
- ΔE_f (raw) (eV per atom) = 2.10
- calculated density (Mg/m³) = 2.3
- M_tot (μB/cell) = 10.93
- density of states at the Fermi level (states/eV per cell) = 3.66

Entry 2:
Density functional theory data (PBE) for a relaxed structure of RbMnIN2.

Cell lengths 4.115, 4.115, 5.554 Å; angles 90.00, 90.00, 90.00 degrees
Sites, in units of the cell vectors:
N 0.000 0.500 0.000
N 0.500 0.000 0.000
I 0.000 0.000 0.500
Rb 0.500 0.500 0.500
Mn 0.000 0.000 0.000

Values from the calculation:
- ΔE_f (raw) (eV per atom) = 0.95
- calculated density (Mg/m³) = 5.2
- M_tot (μB/cell) = 0.00
- density of states at the Fermi level (states/eV per cell) = 5.23

Entry 3:
Density functional theory data (PBE) for a relaxed structure of MnRhIN2.

Cell lengths 3.822, 3.822, 7.433 Å; angles 90.00, 90.00, 90.00 degrees
Sites, in units of the cell vectors:
N 0.000 0.500 0.000
N 0.500 0.000 0.000
Mn 0.500 0.500 0.500
Rh 0.000 0.000 0.000
I 0.000 0.000 0.500

Values from the calculation:
- ΔE_f (raw) (eV per atom) = 1.16
- calculated density (Mg/m³) = 4.8
- M_tot (μB/cell) = 4.10
- density of states at the Fermi level (states/eV per cell) = 3.46

Entry 4:
Density functional theory data (PBE) for a relaxed structure of MnRhI2N.

Cell lengths 5.658, 5.658, 3.708 Å; angles 90.00, 90.00, 90.00 degrees
Sites, in units of the cell vectors:
N 0.000 0.000 0.500
Rh 0.000 0.000 0.000
I 0.000 0.500 0.000
I 0.500 0.000 0.000
Mn 0.500 0.500 0.500

Values from the calculation:
- ΔE_f (raw) (eV per atom) = 0.57
- calculated density (Mg/m³) = 6.0
- M_tot (μB/cell) = 4.77
- density of states at the Fermi level (states/eV per cell) = 3.16

Entry 5:
Density functional theory data (PBE) for a relaxed structure of MnRhIN2.

Cell lengths 3.664, 3.664, 5.732 Å; angles 90.00, 90.00, 90.00 degrees
Sites, in units of the cell vectors:
N 0.000 0.500 0.000
N 0.500 0.000 0.000
I 0.000 0.000 0.500
Rh 0.500 0.500 0.500
Mn 0.000 0.000 0.000

Values from the calculation:
- ΔE_f (raw) (eV per atom) = 0.94
- calculated density (Mg/m³) = 6.7
- M_tot (μB/cell) = 0.73
- density of states at the Fermi level (states/eV per cell) = 3.08

Entry 6:
Density functional theory data (PBE) for a relaxed structure of MnRhI2N.

Cell lengths 5.346, 5.346, 3.486 Å; angles 90.00, 90.00, 90.00 degrees
Sites, in units of the cell vectors:
Rh 0.500 0.500 0.500
I 0.500 0.000 0.000
I 0.000 0.500 0.000
N 0.000 0.000 0.500
Mn 0.000 0.000 0.000

Values from the calculation:
- ΔE_f (raw) (eV per atom) = 0.62
- calculated density (Mg/m³) = 7.1
- M_tot (μB/cell) = 0.98
- density of states at the Fermi level (states/eV per cell) = 4.81

Entry 7:
Density functional theory data (PBE) for a relaxed structure of MnRuIN2.

Cell lengths 3.667, 3.667, 5.613 Å; angles 90.00, 90.00, 90.00 degrees
Sites, in units of the cell vectors:
N 0.000 0.500 0.000
N 0.500 0.000 0.000
Mn 0.000 0.000 0.000
I 0.000 0.000 0.500
Ru 0.500 0.500 0.500

Values from the calculation:
- ΔE_f (raw) (eV per atom) = 1.22
- calculated density (Mg/m³) = 6.8
- M_tot (μB/cell) = 0.00
- density of states at the Fermi level (states/eV per cell) = 3.62

Entry 8:
Density functional theory data (PBE) for a relaxed structure of MnRuIN2.

Cell lengths 3.865, 3.865, 5.876 Å; angles 90.00, 90.00, 90.00 degrees
Sites, in units of the cell vectors:
Ru 0.000 0.000 0.000
N 0.500 0.000 0.000
N 0.000 0.500 0.000
I 0.000 0.000 0.500
Mn 0.500 0.500 0.500

Values from the calculation:
- ΔE_f (raw) (eV per atom) = 1.02
- calculated density (Mg/m³) = 5.9
- M_tot (μB/cell) = 4.89
- density of states at the Fermi level (states/eV per cell) = 3.84

Entry 9:
Density functional theory data (PBE) for a relaxed structure of MnSI2N.

Cell lengths 5.347, 5.347, 3.516 Å; angles 90.00, 90.00, 90.00 degrees
Sites, in units of the cell vectors:
I 0.000 0.500 0.000
I 0.500 0.000 0.000
S 0.500 0.500 0.500
Mn 0.000 0.000 0.000
N 0.000 0.000 0.500

Values from the calculation:
- ΔE_f (raw) (eV per atom) = 0.63
- calculated density (Mg/m³) = 5.9
- M_tot (μB/cell) = 0.00
- density of states at the Fermi level (states/eV per cell) = 7.40

Entry 10:
Density functional theory data (PBE) for a relaxed structure of MnSIN2.

Cell lengths 3.931, 3.931, 5.693 Å; angles 90.00, 90.00, 90.00 degrees
Sites, in units of the cell vectors:
S 0.000 0.000 0.500
Mn 0.500 0.500 0.500
I 0.000 0.000 0.000
N 0.000 0.500 0.000
N 0.500 0.000 0.000

Values from the calculation:
- ΔE_f (raw) (eV per atom) = 1.69
- calculated density (Mg/m³) = 4.6
- M_tot (μB/cell) = 5.02
- density of states at the Fermi level (states/eV per cell) = 1.92

Entry 11:
Density functional theory data (PBE) for a relaxed structure of MnSIN2.

Cell lengths 3.768, 3.768, 5.354 Å; angles 90.00, 90.00, 90.00 degrees
Sites, in units of the cell vectors:
N 0.000 0.500 0.000
N 0.500 0.000 0.000
Mn 0.000 0.000 0.000
S 0.000 0.000 0.500
I 0.500 0.500 0.500

Values from the calculation:
- ΔE_f (raw) (eV per atom) = 0.91
- calculated density (Mg/m³) = 5.3
- M_tot (μB/cell) = 0.22
- density of states at the Fermi level (states/eV per cell) = 2.96

Entry 12:
Density functional theory data (PBE) for a relaxed structure of MnSI2N.

Cell lengths 5.989, 5.989, 3.425 Å; angles 90.00, 90.00, 90.00 degrees
Sites, in units of the cell vectors:
Mn 0.500 0.500 0.500
N 0.000 0.000 0.500
I 0.500 0.000 0.000
I 0.000 0.500 0.000
S 0.000 0.000 0.000

Values from the calculation:
- ΔE_f (raw) (eV per atom) = 0.95
- calculated density (Mg/m³) = 4.8
- M_tot (μB/cell) = 4.63
- density of states at the Fermi level (states/eV per cell) = 2.27

Entry 13:
Density functional theory data (PBE) for a relaxed structure of MnSIN2.

Cell lengths 3.684, 3.684, 5.830 Å; angles 90.00, 90.00, 90.00 degrees
Sites, in units of the cell vectors:
I 0.000 0.000 0.500
N 0.500 0.000 0.000
N 0.000 0.500 0.000
S 0.500 0.500 0.500
Mn 0.000 0.000 0.000

Values from the calculation:
- ΔE_f (raw) (eV per atom) = 0.95
- calculated density (Mg/m³) = 5.1
- M_tot (μB/cell) = 0.00
- density of states at the Fermi level (states/eV per cell) = 4.72

Entry 14:
Density functional theory data (PBE) for a relaxed structure of MnSIN2.

Cell lengths 3.562, 3.562, 7.010 Å; angles 90.00, 90.00, 90.00 degrees
Sites, in units of the cell vectors:
N 0.000 0.500 0.000
N 0.500 0.000 0.000
I 0.000 0.000 0.500
Mn 0.500 0.500 0.500
S 0.000 0.000 0.000

Values from the calculation:
- ΔE_f (raw) (eV per atom) = 1.91
- calculated density (Mg/m³) = 4.5
- M_tot (μB/cell) = 0.07
- density of states at the Fermi level (states/eV per cell) = 5.90

Entry 15:
Density functional theory data (PBE) for a relaxed structure of MnSeI2N.

Cell lengths 6.035, 6.035, 3.722 Å; angles 90.00, 90.00, 90.00 degrees
Sites, in units of the cell vectors:
Mn 0.500 0.500 0.500
Se 0.000 0.000 0.000
I 0.500 0.000 0.000
I 0.000 0.500 0.000
N 0.000 0.000 0.500

Values from the calculation:
- ΔE_f (raw) (eV per atom) = 0.97
- calculated density (Mg/m³) = 4.9
- M_tot (μB/cell) = 4.88
- density of states at the Fermi level (states/eV per cell) = 1.88

Entry 16:
Density functional theory data (PBE) for a relaxed structure of MnSe2IN.

Cell lengths 5.477, 5.477, 3.939 Å; angles 90.00, 90.00, 90.00 degrees
Sites, in units of the cell vectors:
Mn 0.500 0.500 0.500
I 0.000 0.000 0.000
N 0.000 0.000 0.500
Se 0.000 0.500 0.000
Se 0.500 0.000 0.000

Values from the calculation:
- ΔE_f (raw) (eV per atom) = 1.27
- calculated density (Mg/m³) = 5.0
- M_tot (μB/cell) = 4.93
- density of states at the Fermi level (states/eV per cell) = 3.20

Entry 17:
Density functional theory data (PBE) for a relaxed structure of MnSe2IN.

Cell lengths 5.158, 5.158, 3.564 Å; angles 90.00, 90.00, 90.00 degrees
Sites, in units of the cell vectors:
Se 0.000 0.500 0.000
Se 0.500 0.000 0.000
I 0.500 0.500 0.500
N 0.000 0.000 0.500
Mn 0.000 0.000 0.000

Values from the calculation:
- ΔE_f (raw) (eV per atom) = 0.39
- calculated density (Mg/m³) = 6.2
- M_tot (μB/cell) = 1.75
- density of states at the Fermi level (states/eV per cell) = 3.81

Entry 18:
Density functional theory data (PBE) for a relaxed structure of MnSeI2N.

Cell lengths 5.530, 5.530, 3.569 Å; angles 90.00, 90.00, 90.00 degrees
Sites, in units of the cell vectors:
N 0.000 0.000 0.500
Mn 0.000 0.000 0.000
Se 0.500 0.500 0.500
I 0.500 0.000 0.000
I 0.000 0.500 0.000

Values from the calculation:
- ΔE_f (raw) (eV per atom) = 0.49
- calculated density (Mg/m³) = 6.1
- M_tot (μB/cell) = 1.67
- density of states at the Fermi level (states/eV per cell) = 5.13

Entry 19:
Density functional theory data (PBE) for a relaxed structure of MnSiI2N.

Cell lengths 5.470, 5.470, 3.575 Å; angles 90.00, 90.00, 90.00 degrees
Sites, in units of the cell vectors:
Si 0.500 0.500 0.500
I 0.000 0.500 0.000
I 0.500 0.000 0.000
Mn 0.000 0.000 0.000
N 0.000 0.000 0.500

Values from the calculation:
- ΔE_f (raw) (eV per atom) = 0.57
- calculated density (Mg/m³) = 5.4
- M_tot (μB/cell) = 1.70
- density of states at the Fermi level (states/eV per cell) = 3.85

Entry 20:
Density functional theory data (PBE) for a relaxed structure of MnSiIN2.

Cell lengths 3.620, 3.620, 6.459 Å; angles 90.00, 90.00, 90.00 degrees
Sites, in units of the cell vectors:
I 0.000 0.000 0.500
Si 0.000 0.000 0.000
Mn 0.500 0.500 0.500
N 0.500 0.000 0.000
N 0.000 0.500 0.000

Values from the calculation:
- ΔE_f (raw) (eV per atom) = 0.82
- calculated density (Mg/m³) = 4.7
- M_tot (μB/cell) = 4.75
- density of states at the Fermi level (states/eV per cell) = 2.41